#1
An optimized crystal structure of AuSOF2, computed with PBE.

```
data_AuSOF2
_chemical_formula_sum 'Au1 S1 O1 F2'
_cell_length_a 4.794
_cell_length_b 4.794
_cell_length_c 3.227
_cell_angle_alpha 90.00
_cell_angle_beta 90.00
_cell_angle_gamma 90.00
_symmetry_space_group_name_H-M 'P 4/m m m'
_symmetry_Int_Tables_number 123
_symmetry_space_group_name_Hall '-P 4 2'
loop_
_atom_site_label
_atom_site_fract_x
_atom_site_fract_y
_atom_site_fract_z
Au1 0.000 0.000 0.000
S1 0.500 0.500 0.000
O1 0.500 0.500 0.500
F1 0.000 0.500 0.500
```


#2
An optimized crystal structure of AuSOF2, computed with PBE.

```
data_AuSOF2
_chemical_formula_sum 'Au1 S1 O1 F2'
_cell_length_a 4.520
_cell_length_b 4.520
_cell_length_c 3.412
_cell_angle_alpha 90.00
_cell_angle_beta 90.00
_cell_angle_gamma 90.00
_symmetry_space_group_name_H-M 'P 4/m m m'
_symmetry_Int_Tables_number 123
_symmetry_space_group_name_Hall '-P 4 2'
loop_
_atom_site_label
_atom_site_fract_x
_atom_site_fract_y
_atom_site_fract_z
Au1 0.000 0.000 0.000
S1 0.500 0.500 0.500
O1 0.500 0.500 0.000
F1 0.000 0.500 0.500
```


On energetic grounds, #2 is preferred over the next structure by 322 meV per atom.


#1
An optimized crystal structure of SbAuOF2, computed with PBE.

```
data_SbAuOF2
_chemical_formula_sum 'Sb1 Au1 O1 F2'
_cell_length_a 4.444
_cell_length_b 4.444
_cell_length_c 4.232
_cell_angle_alpha 90.00
_cell_angle_beta 90.00
_cell_angle_gamma 90.00
_symmetry_space_group_name_H-M 'P 4/m m m'
_symmetry_Int_Tables_number 123
_symmetry_space_group_name_Hall '-P 4 2'
loop_
_atom_site_label
_atom_site_fract_x
_atom_site_fract_y
_atom_site_fract_z
Sb1 0.000 0.000 0.000
Au1 0.500 0.500 0.500
O1 0.000 0.000 0.500
F1 0.000 0.500 0.000
```


#2
An optimized crystal structure of SbAuOF2, computed with PBE.

```
data_SbAuOF2
_chemical_formula_sum 'Sb1 Au1 O1 F2'
_cell_length_a 4.487
_cell_length_b 4.487
_cell_length_c 4.102
_cell_angle_alpha 90.00
_cell_angle_beta 90.00
_cell_angle_gamma 90.00
_symmetry_space_group_name_H-M 'P 4/m m m'
_symmetry_Int_Tables_number 123
_symmetry_space_group_name_Hall '-P 4 2'
loop_
_atom_site_label
_atom_site_fract_x
_atom_site_fract_y
_atom_site_fract_z
Sb1 0.000 0.000 0.000
Au1 0.500 0.500 0.500
O1 0.500 0.500 0.000
F1 0.000 0.500 0.500
```


On energetic grounds, #1 is preferred over the next structure by 667 meV per atom.


#1
An optimized crystal structure of AuSeOF2, computed with PBE.

```
data_AuSeOF2
_chemical_formula_sum 'Au1 Se1 O1 F2'
_cell_length_a 4.459
_cell_length_b 4.459
_cell_length_c 4.051
_cell_angle_alpha 90.00
_cell_angle_beta 90.00
_cell_angle_gamma 90.00
_symmetry_space_group_name_H-M 'P 4/m m m'
_symmetry_Int_Tables_number 123
_symmetry_space_group_name_Hall '-P 4 2'
loop_
_atom_site_label
_atom_site_fract_x
_atom_site_fract_y
_atom_site_fract_z
Au1 0.000 0.000 0.000
Se1 0.500 0.500 0.500
O1 0.000 0.000 0.500
F1 0.000 0.500 0.000
```


#2
An optimized crystal structure of AuSeOF2, computed with PBE.

```
data_AuSeOF2
_chemical_formula_sum 'Au1 Se1 O1 F2'
_cell_length_a 4.507
_cell_length_b 4.507
_cell_length_c 3.764
_cell_angle_alpha 90.00
_cell_angle_beta 90.00
_cell_angle_gamma 90.00
_symmetry_space_group_name_H-M 'P 4/m m m'
_symmetry_Int_Tables_number 123
_symmetry_space_group_name_Hall '-P 4 2'
loop_
_atom_site_label
_atom_site_fract_x
_atom_site_fract_y
_atom_site_fract_z
Au1 0.000 0.000 0.000
Se1 0.500 0.500 0.500
O1 0.500 0.500 0.000
F1 0.000 0.500 0.500
```


On energetic grounds, #2 is preferred over the next structure by 385 meV per atom.


#1
An optimized crystal structure of SiAuOF2, computed with PBE.

```
data_SiAuOF2
_chemical_formula_sum 'Si1 Au1 O1 F2'
_cell_length_a 4.276
_cell_length_b 4.276
_cell_length_c 3.357
_cell_angle_alpha 90.00
_cell_angle_beta 90.00
_cell_angle_gamma 90.00
_symmetry_space_group_name_H-M 'P 4/m m m'
_symmetry_Int_Tables_number 123
_symmetry_space_group_name_Hall '-P 4 2'
loop_
_atom_site_label
_atom_site_fract_x
_atom_site_fract_y
_atom_site_fract_z
Si1 0.000 0.000 0.000
Au1 0.500 0.500 0.500
O1 0.000 0.000 0.500
F1 0.000 0.500 0.000
```


#2
An optimized crystal structure of SiAuOF2, computed with PBE.

```
data_SiAuOF2
_chemical_formula_sum 'Si1 Au1 O1 F2'
_cell_length_a 4.398
_cell_length_b 4.398
_cell_length_c 4.119
_cell_angle_alpha 90.00
_cell_angle_beta 90.00
_cell_angle_gamma 90.00
_symmetry_space_group_name_H-M 'P 4/m m m'
_symmetry_Int_Tables_number 123
_symmetry_space_group_name_Hall '-P 4 2'
loop_
_atom_site_label
_atom_site_fract_x
_atom_site_fract_y
_atom_site_fract_z
Si1 0.000 0.000 0.000
Au1 0.500 0.500 0.500
O1 0.500 0.500 0.000
F1 0.000 0.500 0.500
```


On energetic grounds, #1 is preferred over the next structure by 1077 meV per atom.


#1
An optimized crystal structure of TcAuOF2, computed with PBE.

```
data_TcAuOF2
_chemical_formula_sum 'Tc1 Au1 O1 F2'
_cell_length_a 4.445
_cell_length_b 4.445
_cell_length_c 4.093
_cell_angle_alpha 90.00
_cell_angle_beta 90.00
_cell_angle_gamma 90.00
_symmetry_space_group_name_H-M 'P 4/m m m'
_symmetry_Int_Tables_number 123
_symmetry_space_group_name_Hall '-P 4 2'
loop_
_atom_site_label
_atom_site_fract_x
_atom_site_fract_y
_atom_site_fract_z
Tc1 0.000 0.000 0.000
Au1 0.500 0.500 0.500
O1 0.500 0.500 0.000
F1 0.000 0.500 0.500
```


#2
An optimized crystal structure of TcAuOF2, computed with PBE.

```
data_TcAuOF2
_chemical_formula_sum 'Tc1 Au1 O1 F2'
_cell_length_a 4.271
_cell_length_b 4.271
_cell_length_c 3.767
_cell_angle_alpha 90.00
_cell_angle_beta 90.00
_cell_angle_gamma 90.00
_symmetry_space_group_name_H-M 'P 4/m m m'
_symmetry_Int_Tables_number 123
_symmetry_space_group_name_Hall '-P 4 2'
loop_
_atom_site_label
_atom_site_fract_x
_atom_site_fract_y
_atom_site_fract_z
Tc1 0.000 0.000 0.000
Au1 0.500 0.500 0.500
O1 0.000 0.000 0.500
F1 0.000 0.500 0.000
```


On energetic grounds, #2 is preferred over the next structure by 941 meV per atom.


#1
An optimized crystal structure of TeAuOF2, computed with PBE.

```
data_TeAuOF2
_chemical_formula_sum 'Te1 Au1 O1 F2'
_cell_length_a 4.563
_cell_length_b 4.563
_cell_length_c 4.090
_cell_angle_alpha 90.00
_cell_angle_beta 90.00
_cell_angle_gamma 90.00
_symmetry_space_group_name_H-M 'P 4/m m m'
_symmetry_Int_Tables_number 123
_symmetry_space_group_name_Hall '-P 4 2'
loop_
_atom_site_label
_atom_site_fract_x
_atom_site_fract_y
_atom_site_fract_z
Te1 0.000 0.000 0.000
Au1 0.500 0.500 0.500
O1 0.000 0.000 0.500
F1 0.000 0.500 0.000
```


#2
An optimized crystal structure of TeAuOF2, computed with PBE.

```
data_TeAuOF2
_chemical_formula_sum 'Te1 Au1 O1 F2'
_cell_length_a 4.304
_cell_length_b 4.304
_cell_length_c 4.470
_cell_angle_alpha 90.00
_cell_angle_beta 90.00
_cell_angle_gamma 90.00
_symmetry_space_group_name_H-M 'P 4/m m m'
_symmetry_Int_Tables_number 123
_symmetry_space_group_name_Hall '-P 4 2'
loop_
_atom_site_label
_atom_site_fract_x
_atom_site_fract_y
_atom_site_fract_z
Te1 0.000 0.000 0.000
Au1 0.500 0.500 0.500
O1 0.500 0.500 0.000
F1 0.000 0.500 0.500
```


On energetic grounds, #1 is preferred over the next structure by 513 meV per atom.


#1
An optimized crystal structure of TiAuOF2, computed with PBE.

```
data_TiAuOF2
_chemical_formula_sum 'Ti1 Au1 O1 F2'
_cell_length_a 4.108
_cell_length_b 4.108
_cell_length_c 3.846
_cell_angle_alpha 90.00
_cell_angle_beta 90.00
_cell_angle_gamma 90.00
_symmetry_space_group_name_H-M 'P 4/m m m'
_symmetry_Int_Tables_number 123
_symmetry_space_group_name_Hall '-P 4 2'
loop_
_atom_site_label
_atom_site_fract_x
_atom_site_fract_y
_atom_site_fract_z
Ti1 0.000 0.000 0.000
Au1 0.500 0.500 0.500
O1 0.000 0.000 0.500
F1 0.000 0.500 0.000
```


#2
An optimized crystal structure of TiAuOF2, computed with PBE.

```
data_TiAuOF2
_chemical_formula_sum 'Ti1 Au1 O1 F2'
_cell_length_a 4.482
_cell_length_b 4.482
_cell_length_c 4.042
_cell_angle_alpha 90.00
_cell_angle_beta 90.00
_cell_angle_gamma 90.00
_symmetry_space_group_name_H-M 'P 4/m m m'
_symmetry_Int_Tables_number 123
_symmetry_space_group_name_Hall '-P 4 2'
loop_
_atom_site_label
_atom_site_fract_x
_atom_site_fract_y
_atom_site_fract_z
Ti1 0.000 0.000 0.000
Au1 0.500 0.500 0.500
O1 0.500 0.500 0.000
F1 0.000 0.500 0.500
```


On energetic grounds, #1 is preferred over the next structure by 1501 meV per atom.


#1
An optimized crystal structure of TlAuOF2, computed with PBE.

```
data_TlAuOF2
_chemical_formula_sum 'Tl1 Au1 O1 F2'
_cell_length_a 4.983
_cell_length_b 4.983
_cell_length_c 3.726
_cell_angle_alpha 90.00
_cell_angle_beta 90.00
_cell_angle_gamma 90.00
_symmetry_space_group_name_H-M 'P 4/m m m'
_symmetry_Int_Tables_number 123
_symmetry_space_group_name_Hall '-P 4 2'
loop_
_atom_site_label
_atom_site_fract_x
_atom_site_fract_y
_atom_site_fract_z
Tl1 0.000 0.000 0.000
Au1 0.500 0.500 0.000
O1 0.500 0.500 0.500
F1 0.000 0.500 0.500
```


#2
An optimized crystal structure of TlAuOF2, computed with PBE.

```
data_TlAuOF2
_chemical_formula_sum 'Tl1 Au1 O1 F2'
_cell_length_a 4.679
_cell_length_b 4.679
_cell_length_c 3.960
_cell_angle_alpha 90.00
_cell_angle_beta 90.00
_cell_angle_gamma 90.00
_symmetry_space_group_name_H-M 'P 4/m m m'
_symmetry_Int_Tables_number 123
_symmetry_space_group_name_Hall '-P 4 2'
loop_
_atom_site_label
_atom_site_fract_x
_atom_site_fract_y
_atom_site_fract_z
Tl1 0.000 0.000 0.000
Au1 0.500 0.500 0.500
O1 0.500 0.500 0.000
F1 0.000 0.500 0.500
```


On energetic grounds, #2 is preferred over the next structure by 307 meV per atom.